1.
A plane-wave DFT calculation with GGA-PBE was carried out for AcCd2I6 after structural relaxation.

Output
Theoretical density: 4315 kg/m³
Uncorrected formation energy: -0.870 eV/atom
VASP energy: -2.56 eV per atom

Cell: 8.1516 8.1516 24.3380 Å, 90.00 90.00 120.00°
With the nearest neighbours (Å) after each atom.
Space group R3 (No. 146, hexagonal axes)
Symmetry-distinct sites (fractional):
Ac1 0.0000 0.0000 0.0000  6 I 3.30-3.31
Cd1 0.0000 0.0000 0.2745  1 Cd 2.86, 3 I 2.86
Cd2 0.0000 0.0000 0.3918  1 Cd 2.86, 3 I 2.86
I1 0.0020 0.6871 0.9141  1 Cd 2.86
I2 0.0029 0.3149 0.0861  1 Cd 2.86


2.
A plane-wave DFT calculation with GGA-PBE was carried out for PmSi2Au2 after structural relaxation.

Output
Theoretical density: 10306 kg/m³
Uncorrected formation energy: -0.608 eV/atom
VASP energy: -5.04 eV per atom

Cell: 4.3281 4.3281 10.2367 Å, 90.00 90.00 90.00°
With the nearest neighbours (Å) after each atom.
Space group I4/mmm (No. 139)
Symmetry-distinct sites (fractional):
Pm1 0.0000 0.0000 0.0000  8 Si 3.27, 8 Au 3.35
Si1 0.0000 0.0000 0.3862  1 Si 2.33, 4 Au 2.57
Au1 0.0000 0.5000 0.2500  4 Si 2.57


3.
A plane-wave DFT calculation with GGA-PBE was carried out for Ba6NaIrPt after structural relaxation.

Output
Theoretical density: 4413 kg/m³
ΔE_f: -0.2688 eV per atom
VASP energy: -3.35 eV per atom

Cell: 8.1969 8.1969 7.9808 Å, 90.00 90.00 120.00°
With the nearest neighbours (Å) after each atom.
Space group P312 (No. 149)
Symmetry-distinct sites (fractional):
Ba1 0.0414 0.3409 0.2172  1 Ir 3.08, 1 Pt 3.16
Na1 0.6667 0.3333 0.5000  6 Ba 3.79
Ir1 0.3333 0.6667 0.0000  6 Ba 3.08
Pt1 0.0000 0.0000 0.0000  6 Ba 3.16


4.
A plane-wave DFT calculation with GGA-PBE was carried out for ZnReCl2 after structural relaxation.

Output
Theoretical density: 7707 kg/m³
Uncorrected formation energy: 0.689 eV/atom
Energy above the lowest structure with this stoichiometry: 2.83 eV/f.u.
VASP energy: -3.67 eV per atom

Cell: 2.9088 4.2972 5.5591 Å, 90.00 90.00 90.00°
With the nearest neighbours (Å) after each atom.
Space group Pmmm (No. 47)
Symmetry-distinct sites (fractional):
Zn1 0.0000 0.0000 0.0000  4 Cl 2.59
Re1 0.5000 0.0000 0.5000  4 Cl 2.59
Cl1 0.0000 0.5000 0.5000  4 Re 2.59
Cl2 0.5000 0.5000 0.0000  4 Zn 2.59


5.
A plane-wave DFT calculation with GGA-PBE was carried out for Li2AcGePd4 after structural relaxation.

Output
Theoretical density: 8577 kg/m³
ΔE_f: -0.6018 eV per atom
VASP energy: -4.77 eV per atom

Cell: 4.3290 4.3290 26.4542 Å, 90.00 90.00 120.00°
With the nearest neighbours (Å) after each atom.
Space group R-3m (No. 166, hexagonal axes)
Symmetry-distinct sites (fractional):
Li1 0.0000 0.0000 0.2333  7 Pd 2.61-2.66
Ac1 0.0000 0.0000 0.0000  6 Pd 3.13
Ge1 0.0000 0.0000 0.5000  8 Pd 2.53-2.64
Pd1 0.0000 0.0000 0.1344  4 Li 2.62-2.66, 3 Ge 2.64
Pd2 0.0000 0.0000 0.4044  1 Ge 2.53, 3 Li 2.61


6.
A plane-wave DFT calculation with GGA-PBE was carried out for Ba2BeBr after structural relaxation.

Output
Theoretical density: 4549 kg/m³
Uncorrected formation energy: 0.199 eV/atom
Energy above the lowest structure with this stoichiometry: 2.68 eV/f.u.
VASP energy: -2.11 eV per atom

Cell: 8.0968 8.0968 8.0968 Å, 90.00 90.00 90.00°
With the nearest neighbours (Å) after each atom.
Space group F-43m (No. 216)
Symmetry-distinct sites (fractional):
Ba1 0.0000 0.0000 0.0000  4 Ba 3.51, 4 Be 3.51
Ba2 0.2500 0.2500 0.2500  4 Ba 3.51, 4 Br 3.51
Be1 0.2500 0.2500 0.7500  4 Ba 3.51, 4 Br 3.51
Br1 0.0000 0.0000 0.5000  4 Ba 3.51, 4 Be 3.51


7.
A plane-wave DFT calculation with GGA-PBE was carried out for LaThGePd after structural relaxation.

Output
Theoretical density: 9109 kg/m³
ΔE_f: -0.6162 eV per atom
VASP energy: -6.16 eV per atom

Cell: 7.3744 7.3744 7.3744 Å, 90.00 90.00 90.00°
With the nearest neighbours (Å) after each atom.
Space group F-43m (No. 216)
Symmetry-distinct sites (fractional):
La1 0.0000 0.0000 0.0000  4 Pd 3.19, 4 Ge 3.19
Th1 0.0000 0.0000 0.5000  4 Ge 3.19, 4 Pd 3.19
Ge1 0.2500 0.2500 0.2500  4 La 3.19, 4 Th 3.19
Pd1 0.2500 0.2500 0.7500  4 La 3.19, 4 Th 3.19


8.
A plane-wave DFT calculation with GGA-PBE was carried out for Pm3NdC8 after structural relaxation.

Output
Theoretical density: 5525 kg/m³
ΔE_f: 0.1560 eV per atom
VASP energy: -7.58 eV per atom

Cell: 7.1840 7.1840 7.8652 Å, 90.00 90.00 90.00°
With the nearest neighbours (Å) after each atom.
Space group I-42m (No. 121)
Symmetry-distinct sites (fractional):
Pm1 0.0000 0.0000 0.0000  8 C 2.60-2.66
Pm2 0.0000 0.5000 0.2500  8 C 2.68-2.69
Nd1 0.0000 0.0000 0.5000  4 C 2.52
C1 0.1657 0.1657 0.7377  1 C 1.29
C2 0.2329 0.2329 0.1383  1 C 1.29


9.
A plane-wave DFT calculation with GGA-PBE was carried out for LiGdCd2 after structural relaxation.

Output
Theoretical density: 6605 kg/m³
Energy above the lowest structure with this stoichiometry: 0.25 eV/f.u.
ΔE_f: -0.2143 eV per atom
VASP energy: -4.67 eV per atom

Cell: 5.2863 5.2863 3.5000 Å, 90.00 90.00 90.00°
With the nearest neighbours (Å) after each atom.
Space group P4/mmm (No. 123)
Symmetry-distinct sites (fractional):
Li1 0.0000 0.0000 0.0000  8 Cd 3.17, 2 Li 3.50
Gd1 0.5000 0.5000 0.0000  8 Cd 3.17, 2 Gd 3.50
Cd1 0.0000 0.5000 0.5000  4 Gd 3.17, 4 Li 3.17, 2 Cd 3.50


10.
A plane-wave DFT calculation with GGA-PBE was carried out for YMgFe2 after structural relaxation.

Output
Theoretical density: 5017 kg/m³
ΔE_f: 0.1197 eV per atom
VASP energy: -6.13 eV per atom

Cell: 3.1908 3.1908 7.3117 Å, 90.00 90.00 90.00°
With the nearest neighbours (Å) after each atom.
Space group P4mm (No. 99)
Symmetry-distinct sites (fractional):
Y1 0.0000 0.0000 0.0000  5 Fe 2.97-2.98, 4 Y 3.19
Mg1 0.5000 0.5000 0.6417  5 Fe 2.75-2.84
Fe1 0.0000 0.0000 0.4068  4 Fe 2.48
Fe2 0.5000 0.5000 0.2652  4 Fe 2.48, 1 Mg 2.75


11.
A plane-wave DFT calculation with GGA-PBE was carried out for KRuSN2 after structural relaxation.

Output
Theoretical density: 4216 kg/m³
Uncorrected formation energy: 0.541 eV/atom
Energy above the lowest structure with this stoichiometry: 0.00 eV/f.u.
VASP energy: -5.69 eV per atom

Cell: 3.9210 3.9210 5.1304 Å, 90.00 90.00 90.00°
With the nearest neighbours (Å) after each atom.
Space group P4/mmm (No. 123)
Symmetry-distinct sites (fractional):
K1 0.0000 0.0000 0.0000  4 S 2.77
Ru1 0.5000 0.5000 0.5000  4 N 1.96
S1 0.5000 0.5000 0.0000  2 Ru 2.57, 4 K 2.77
N1 0.0000 0.5000 0.5000  2 Ru 1.96


12.
A plane-wave DFT calculation with GGA-PBE was carried out for CaSmY14 after structural relaxation.

Output
Theoretical density: 4487 kg/m³
ΔE_f: 0.0190 eV per atom
VASP energy: -6.06 eV per atom

Cell: 11.4082 7.3310 12.7015 Å, 90.00 90.00 90.00°
With the nearest neighbours (Å) after each atom.
Space group Amm2 (No. 38)
Symmetry-distinct sites (fractional):
Ca1 0.0000 0.0000 0.0000  10 Y 3.60-3.67, 2 Sm 3.67
Sm1 0.0000 0.0000 0.4988  10 Y 3.53-3.69, 2 Ca 3.67
Y1 0.0000 0.2489 0.2503  8 Y 3.53-3.68, 2 Sm 3.65-3.69, 2 Ca 3.67
Y2 0.2485 0.0000 0.3334  1 Sm 3.53, 11 Y 3.53-3.67
Y3 0.2544 0.0000 0.8316  11 Y 3.51-3.71, 1 Ca 3.61
Y4 0.2540 0.2474 0.5842  10 Y 3.51-3.71, 1 Sm 3.59, 1 Ca 3.60
Y5 0.5000 0.0000 0.0003  12 Y 3.53-3.67
Y6 0.5000 0.0000 0.5006  12 Y 3.51-3.67
Y7 0.5000 0.2497 0.2499  12 Y 3.51-3.67